(1)
# Mg2InMo

A geometry-optimized Mg2InMo structure (GGA-PBE, Alexandria).

```
Mg2InMo
1.0
-0.444 4.309 3.238
-3.503 -0.153 -4.117
-1.901 -1.451 1.671
Mg Mo In
2 1 1
Direct
0.000 0.000 0.000
0.500 0.500 0.000
0.500 0.000 0.500
0.000 0.500 0.500
```

Computed properties:
Its total magnetization is 0.000 μB/f.u. As for the total energy: -3.942 eV per atom. The value obtained for the density of states at the Fermi level is 2.92 states/eV/f.u. Its space group is Cmmm (65).

(2)
# MgInMo

A geometry-optimized MgInMo structure (GGA-PBE, Alexandria).

```
MgInMo
1.0
-3.572 2.479 1.651
-3.219 -2.047 2.660
-0.242 0.993 4.537
Mo In Mg
1 1 1
Direct
0.750 0.750 0.750
0.000 0.000 0.000
0.500 0.500 0.500
```

Computed properties:
The calculation puts the energy above the most stable polymorph in this dataset at 506 meV/atom. Its total magnetization is 2.321 μB/f.u. As for the total energy: -4.246 eV per atom. The value obtained for the density of states at the Fermi level is 2.07 states/eV/f.u. Its space group is F-43m (216).

(3)
# Mg2InMo

A geometry-optimized Mg2InMo structure (GGA-PBE, Alexandria).

```
Mg2InMo
1.0
3.015 0.000 0.000
0.000 4.266 0.000
0.000 0.000 5.994
Mo Mg In
1 2 1
Direct
0.500 0.500 0.250
0.000 0.000 0.481
0.000 0.000 0.019
0.500 0.500 0.750
```

Computed properties:
Its total magnetization is 0.000 μB/f.u. As for the total energy: -3.921 eV per atom. The value obtained for the density of states at the Fermi level is 2.60 states/eV/f.u. Its space group is Pmmm (47).

(4)
# MgInMo2

A geometry-optimized MgInMo2 structure (GGA-PBE, Alexandria).

```
MgInMo2
1.0
-2.223 -1.474 -1.181
2.243 0.263 -1.846
3.629 -8.084 3.256
In Mg Mo
1 1 2
Direct
0.000 0.000 0.487
0.500 0.500 0.769
0.000 0.000 0.016
0.500 0.500 0.228
```

Computed properties:
The calculation puts the energy above the most stable polymorph in this dataset at 94 meV/atom. Its total magnetization is 0.000 μB/f.u. As for the total energy: -6.274 eV per atom. The value obtained for the density of states at the Fermi level is 2.17 states/eV/f.u. Its space group is Cmm2 (35).

(5)
# Mg2InMoN4

A geometry-optimized Mg2InMoN4 structure (GGA-PBE, Alexandria).

```
Mg2InMoN4
1.0
5.001 0.207 0.000
-0.208 5.001 0.000
-2.396 -2.604 4.499
Mg N In Mo
2 4 1 1
Direct
0.250 0.750 0.500
0.750 0.250 0.500
0.842 0.400 0.242
0.400 0.842 0.242
0.600 0.600 0.758
0.158 0.158 0.758
0.000 0.000 0.000
0.500 0.500 0.000
```

Computed properties:
As for the energy relative to the elements, uncorrected: -458 meV/atom. Its total magnetization is 0.000 μB/f.u. As for the total energy: -6.716 eV per atom. The value obtained for the density of states at the Fermi level is 1.55 states/eV/f.u. Its space group is I-42m (121).

(6)
# MgNbIn2Mo

A geometry-optimized MgNbIn2Mo structure (GGA-PBE, Alexandria).

```
MgNbIn2Mo
1.0
5.158 0.000 0.000
0.000 5.003 0.000
0.000 0.000 5.158
Mg Nb In Mo
1 1 2 1
Direct
0.000 0.500 0.000
0.500 0.500 0.500
0.500 0.000 0.000
0.000 0.000 0.500
0.000 0.000 0.000
```

Computed properties:
Its total magnetization is 2.221 μB/f.u. As for the total energy: -4.350 eV per atom. The value obtained for the density of states at the Fermi level is 4.05 states/eV/f.u. Its space group is P4/mmm (123).